A relaxed SrMgIn2Ir crystal, computed with PBE-GGA.

```
SrMgIn2Ir
1.0
-1.179 -4.899 -1.285
4.859 -0.723 -1.704
1.391 -1.547 4.622
Sr Mg In Ir
1 1 2 1
direct
0.500 0.500 0.500
0.000 0.000 0.500
0.000 0.500 0.000
0.500 0.000 0.000
0.000 0.000 0.000
```

**Magnetic moment**: 0.0 μB per formula unit
**Density of states at the Fermi level**: 0.72 states/eV per atom
**Total DFT energy (no corrections)**: -19.00 eV per cell


A relaxed CaLaIn2 crystal, computed with PBE-GGA.

```
CaLaIn2
1.0
-1.229 -0.427 5.370
3.523 -2.491 3.451
2.796 2.979 3.719
In Ca La
2 1 1
direct
0.250 0.250 0.250
0.000 0.000 0.000
0.500 0.500 0.500
0.750 0.750 0.750
```

**Magnetic moment**: 0.0 μB per formula unit
**Density of states at the Fermi level**: 0.89 states/eV per atom
**Total DFT energy (no corrections)**: -12.97 eV per cell


A relaxed Sc6Ni5Ag crystal, computed with PBE-GGA.

```
Sc6Ni5Ag
1.0
4.315 -0.026 1.438
0.035 6.473 0.012
0.008 -0.013 7.168
Ni Sc Ag
5 6 1
direct
0.332 0.000 0.335
0.336 0.500 0.328
0.664 0.500 0.672
0.000 0.500 0.000
0.668 0.000 0.665
0.500 0.263 0.000
0.828 0.744 0.344
0.500 0.737 0.000
0.828 0.256 0.344
0.172 0.256 0.656
0.172 0.744 0.656
0.000 0.000 0.000
```

**Magnetic moment**: 0.0 μB per formula unit
**Density of states at the Fermi level**: 0.89 states/eV per atom
**Total DFT energy (no corrections)**: -75.03 eV per cell


A relaxed K8RbHg2 crystal, computed with PBE-GGA.

```
K8RbHg2
1.0
-3.559 4.720 -3.954
-6.508 -6.996 3.887
-0.028 2.922 9.893
K Hg Rb
8 2 1
direct
0.174 0.347 0.002
0.221 0.721 0.721
0.779 0.279 0.279
0.174 0.002 0.347
0.500 0.183 0.817
0.826 0.998 0.653
0.500 0.817 0.183
0.826 0.653 0.998
0.000 0.375 0.625
0.000 0.625 0.375
0.500 0.500 0.500
```

**Magnetic moment**: 0.0 μB per formula unit
**Density of states at the Fermi level**: 0.70 states/eV per atom
**Total DFT energy (no corrections)**: -11.09 eV per cell


A relaxed BaZr3V crystal, computed with PBE-GGA.

```
BaZr3V
1.0
5.265 0.000 0.000
0.000 5.265 0.000
0.000 0.000 5.265
Zr Ba V
3 1 1
direct
0.000 0.000 0.500
0.000 0.500 0.000
0.500 0.000 0.000
0.000 0.000 0.000
0.500 0.500 0.500
```

**Magnetic moment**: 2.2 μB per formula unit
**Density of states at the Fermi level**: 2.01 states/eV per atom
**Total DFT energy (no corrections)**: -26.56 eV per cell


A relaxed LiLuAsRh crystal, computed with PBE-GGA.

```
LiLuAsRh
1.0
-3.434 -1.782 2.291
0.386 -4.103 1.799
0.282 -0.481 4.461
Rh Li Lu As
1 1 1 1
direct
0.250 0.250 0.250
0.750 0.750 0.750
0.500 0.500 0.500
0.000 0.000 0.000
```

**Magnetic moment**: 0.0 μB per formula unit
**Density of states at the Fermi level**: 0.10 states/eV per atom
**Total DFT energy (no corrections)**: -21.60 eV per cell